Here is a relaxed structure of AlPbF2 from Alexandria via LeMat-Bulk. Energies are from PBE.

E above lowest polymorph = 0.1063 eV/atom
Space-group type = R-3m, No. 166

Structure (POSCAR):
```
AlPbF2
1.0
8.9297 -0.0119 -0.0070
8.3145 3.2570 -0.0070
8.3145 1.5647 2.8565
Al F Pb
1 2 1
Cartesian
12.7794 2.4049 1.4212 Al
22.1212 4.1629 2.4602 F
3.4375 0.6469 0.3823 F
0.0000 0.0000 0.0000 Pb
```

Here is a relaxed structure of AlPbF3 from Alexandria via LeMat-Bulk. Energies are from PBE.

E above lowest polymorph = 0.2766 eV/atom
Space-group type = Pm-3m, No. 221

Structure (POSCAR):
```
AlPbF3
1.0
-4.1858 -2.3256 -0.5298
2.2743 -4.2140 0.5287
-0.7186 0.2092 4.7592
F Pb Al
3 1 1
Cartesian
-0.3593 0.1046 2.3796 F
-2.0929 -1.1628 -0.2649 F
1.1372 -2.1070 0.2643 F
0.0000 0.0000 0.0000 Pb
-1.3151 -3.1652 2.3790 Al
```

Here is a relaxed structure of AlPbF2 from Alexandria via LeMat-Bulk. Energies are from PBE.

E above lowest polymorph = 0.0000 eV/atom
Space-group type = R-3m, No. 166

Structure (POSCAR):
```
AlPbF2
1.0
-5.6242 5.9124 -0.3682
-5.6446 5.2187 2.7616
-3.4488 7.2340 1.5807
F Al Pb
2 1 1
Cartesian
-13.5996 16.9701 3.6723 F
-1.1179 1.3950 0.3019 F
0.0000 0.0000 0.0000 Al
-7.3588 9.1825 1.9871 Pb
```

Here is a relaxed structure of Al2Pb3F12 from Alexandria via LeMat-Bulk. Energies are from PBE.

Space-group type = P2_1/c, No. 14

Structure (POSCAR):
```
Al2Pb3F12
1.0
9.8018 0.0000 0.0000
0.0000 9.5508 0.0002
0.0000 9.3686 10.3910
Al F Pb
8 48 12
Cartesian
1.4736 17.2063 9.0402 Al
3.5559 6.5248 4.3968 Al
1.3450 11.2091 9.5922 Al
3.4274 12.5220 3.8447 Al
8.3283 1.7131 1.3509 Al
6.2459 12.3946 5.9944 Al
6.3745 6.3974 6.5464 Al
8.4568 7.7103 0.7989 Al
1.9027 9.4293 9.4640 F
3.8965 10.8249 3.4411 F
0.0756 10.9500 8.3641 F
2.5692 11.6397 8.3105 F
8.0781 6.5656 7.2032 F
6.1305 4.8532 0.7039 F
9.4138 5.4021 3.5838 F
7.1854 16.9363 9.9120 F
5.2889 10.0864 8.7793 F
1.2296 9.3819 4.4918 F
0.1917 1.3535 0.5836 F
4.8253 6.2657 3.1686 F
6.8036 14.1744 6.1227 F
9.6101 17.5659 9.8075 F
0.8490 8.2577 7.4612 F
2.9982 4.7450 4.2685 F
2.6164 1.9831 0.4792 F
0.8449 12.9545 9.8016 F
2.3318 6.9554 3.1151 F
4.0519 3.5735 2.2657 F
1.0044 15.5092 8.6366 F
9.7262 7.9694 2.0271 F
5.0926 12.8816 4.6121 F
4.0560 8.2702 4.6061 F
7.2327 7.2797 2.0806 F
7.4701 11.9640 7.2761 F
7.8991 9.4901 0.9272 F
8.9570 5.9649 0.5896 F
4.5129 8.8330 1.6119 F
0.3880 13.5173 6.8073 F
5.7458 10.6492 5.7851 F
3.6713 14.0662 9.6872 F
7.6949 11.5702 10.1068 F
3.1772 17.0380 8.3834 F
6.6246 1.8814 2.0077 F
4.9766 12.6537 7.2225 F
8.7974 3.4102 1.7546 F
2.7940 12.0335 5.4798 F
2.2845 6.6674 5.6747 F
2.1069 7.3492 0.2843 F
5.9053 8.0945 6.9500 F
8.5722 9.5375 5.8994 F
8.9528 10.6616 2.9299 F
1.7237 12.3537 3.1879 F
7.0078 6.8859 4.9114 F
5.7499 15.3459 8.1254 F
7.5174 12.2520 4.7165 F
4.7092 6.0378 5.7791 F
8.7723 13.9941 8.5590 Pb
2.8068 13.9269 7.3605 Pb
7.7077 9.6768 8.2261 Pb
2.0941 9.2426 2.1650 Pb
4.8781 16.1283 10.2702 Pb
4.9237 2.7911 0.1210 Pb
9.7790 7.4754 5.3165 Pb
6.9950 4.9925 3.0306 Pb
1.0295 4.9253 1.8322 Pb
0.0228 11.4440 5.0747 Pb
3.8714 9.6096 7.0276 Pb
5.9304 9.3098 3.3635 Pb
```

Here is a relaxed structure of AlPb2F from Alexandria via LeMat-Bulk. Energies are from PBE.

E above lowest polymorph = 0.1169 eV/atom
Space-group type = I-42d, No. 122

Structure (POSCAR):
```
AlPb2F
1.0
-2.3403 0.5467 4.9458
4.5786 -1.9036 2.3770
3.7858 6.3419 4.1472
F Pb Al
2 4 2
Cartesian
4.7417 1.8799 5.0928 F
1.1191 -0.6785 3.6614 F
0.1986 1.6559 4.1239 Pb
3.9575 4.1316 6.0012 Pb
4.5189 3.6850 9.3731 Pb
3.3730 0.4973 3.4418 Pb
0.0000 0.0000 0.0000 Al
1.2823 3.1051 6.3772 Al
```

Here is a relaxed structure of AlPb6F12 from Alexandria via LeMat-Bulk. Energies are from PBE.

Space-group type = R-3, No. 148

Structure (POSCAR):
```
AlPb6F12
1.0
-5.0211 5.2369 -0.4745
-0.5551 -2.1652 6.9184
6.2446 3.7235 -0.0441
Pb F Al
6 12 1
Cartesian
-2.0589 3.4947 1.4030 Pb
2.7273 3.3004 4.9968 Pb
0.2008 0.5951 4.2457 Pb
-1.9075 3.5877 5.1758 Pb
0.4675 6.2001 2.1541 Pb
2.5758 3.2074 1.2240 Pb
-1.4204 2.1210 3.2495 F
0.6766 -0.7942 6.8666 F
-1.2213 4.9106 3.2449 F
4.8965 4.9121 0.3670 F
0.3532 2.8262 5.2937 F
-0.0082 7.5894 -0.4668 F
2.0888 4.6741 3.1503 F
1.8896 1.8846 3.1549 F
-4.2281 1.8830 6.0328 F
-4.6802 4.9601 1.3162 F
0.3152 3.9690 1.1062 F
5.3485 1.8350 5.0836 F
0.0000 0.0000 0.0000 Al
```

Here is a relaxed structure of AlPbF2 from Alexandria via LeMat-Bulk. Energies are from PBE.

E above lowest polymorph = 0.5435 eV/atom
Space-group type = Fm-3m, No. 225

Structure (POSCAR):
```
AlPbF2
1.0
0.0000 3.2738 3.2738
3.2738 0.0000 3.2738
3.2738 3.2738 0.0000
F Al Pb
2 1 1
Cartesian
1.6369 1.6369 1.6369 F
4.9107 4.9107 4.9107 F
0.0000 0.0000 0.0000 Al
3.2738 3.2738 3.2738 Pb
```

Here is a relaxed structure of AlPbF2 from Alexandria via LeMat-Bulk. Energies are from PBE.

E above lowest polymorph = 0.0133 eV/atom
Space-group type = Fd-3m, No. 227

Structure (POSCAR):
```
AlPbF2
1.0
0.0000 4.2215 4.2215
4.2215 0.0000 4.2215
4.2215 4.2215 0.0000
Pb Al F
2 2 4
Cartesian
4.2215 4.2215 4.2215 Pb
6.3323 6.3323 6.3323 Pb
2.1108 2.1108 2.1108 Al
0.0000 0.0000 0.0000 Al
1.0554 1.0554 1.0554 F
3.1661 3.1661 1.0554 F
1.0554 3.1661 3.1661 F
3.1661 1.0554 3.1661 F
```

Here is a relaxed structure of AlPb2F from Alexandria via LeMat-Bulk. Energies are from PBE.

E above lowest polymorph = 0.0000 eV/atom
Space-group type = Fm-3m, No. 225

Structure (POSCAR):
```
AlPb2F
1.0
0.0000 3.5257 3.5257
3.5257 0.0000 3.5257
3.5257 3.5257 0.0000
Al F Pb
1 1 2
Cartesian
3.5257 3.5257 3.5257 Al
0.0000 0.0000 0.0000 F
1.7628 1.7628 1.7628 Pb
5.2885 5.2885 5.2885 Pb
```

Here is a relaxed structure of AlPbF3 from Alexandria via LeMat-Bulk. Energies are from PBE.

E above lowest polymorph = 0.0000 eV/atom
Space-group type = Pm-3m, No. 221

Structure (POSCAR):
```
AlPbF3
1.0
4.2204 0.0000 0.0000
0.0000 4.2204 0.0000
0.0000 0.0000 4.2204
F Pb Al
3 1 1
Cartesian
0.0000 2.1102 0.0000 F
0.0000 0.0000 2.1102 F
2.1102 0.0000 0.0000 F
2.1102 2.1102 2.1102 Pb
0.0000 0.0000 0.0000 Al
```

Here is a relaxed structure of AlPb2F7 from Alexandria via LeMat-Bulk. Energies are from PBE.

Space-group type = C2/c, No. 15

Structure (POSCAR):
```
AlPb2F7
1.0
7.4278 0.0000 3.6223
3.4808 5.9289 2.2892
0.9705 -0.8709 7.4366
F Pb Al
14 4 2
Cartesian
3.3377 3.8007 5.7906 F
3.1750 0.7007 8.5030 F
4.4233 0.9574 5.9434 F
8.4323 2.2439 9.9245 F
5.6862 4.2290 4.9576 F
6.0120 1.2717 3.3173 F
5.8670 3.7864 10.0309 F
7.4558 4.1006 7.4048 F
8.5413 1.2573 7.5576 F
6.1929 0.8291 8.3906 F
3.4467 2.8142 3.4237 F
8.7040 4.3573 4.8452 F
10.5263 5.6438 7.7599 F
1.3527 -0.5857 5.5883 F
8.0992 4.7547 9.5440 Pb
4.3285 2.8324 7.8493 Pb
3.7799 0.3034 3.8042 Pb
7.5506 2.2256 5.4989 Pb
7.7704 0.8291 9.1599 Al
4.1087 4.2290 4.1883 Al
```

Here is a relaxed structure of Al2PbF from Alexandria via LeMat-Bulk. Energies are from PBE.

E above lowest polymorph = 0.1683 eV/atom
Space-group type = Fm-3m, No. 225

Structure (POSCAR):
```
Al2PbF
1.0
1.4468 -2.7757 -3.5868
0.7521 -4.6427 0.7370
-2.9700 -3.2182 -1.8668
F Al Pb
1 2 1
Cartesian
0.0000 0.0000 0.0000 F
-0.1928 -2.6591 -1.1792 Al
-0.5783 -7.9774 -3.5375 Al
-0.3855 -5.3183 -2.3583 Pb
```

Number 1: formation energy (no corrections) -1.591 eV/atom, energy -4.389 eV per atom. Number 2: formation energy (no corrections) -1.674 eV/atom, energy -4.287 eV per atom. Number 3: formation energy (no corrections) -1.697 eV/atom, energy -4.495 eV per atom. Number 4: formation energy (no corrections) -2.950 eV/atom, energy -5.366 eV per atom. Number 5: formation energy (no corrections) -0.406 eV/atom, energy -3.663 eV per atom. Number 6: formation energy (no corrections) -2.241 eV/atom, energy -4.791 eV per atom. Number 7: formation energy (no corrections) -1.154 eV/atom, energy -3.952 eV per atom. Number 8: formation energy (no corrections) -1.684 eV/atom, energy -4.482 eV per atom. Number 9: formation energy (no corrections) -0.523 eV/atom, energy -3.780 eV per atom. Number 10: formation energy (no corrections) -1.950 eV/atom, energy -4.563 eV per atom. Number 11: formation energy (no corrections) -2.822 eV/atom, energy -5.247 eV per atom. Number 12: formation energy (no corrections) -0.360 eV/atom, energy -3.626 eV per atom.